Record 1
Computed, not measured: a relaxed structure of Sc3BiC at the GGA-PBE level of DFT.

Lattice parameters (Å, degrees): 5.8137 5.8137 13.3358 90.00 90.00 90.00
With the nearest neighbours (Å) after each atom.
Space group I-4m2 (No. 119)
One atom of each set of equivalent atoms:
Sc (0.0000, 0.0000, 0.1918) [4 per cell]  2 C 3.01, 2 Sc 3.04, 2 Bi 3.09
Sc (0.0000, 0.2572, 0.6097) [8 per cell]  1 C 2.09
Bi (0.0000, 0.5000, 0.1134) [4 per cell]  8 Sc 3.09-3.29, 2 C 3.28
C (0.0000, 0.0000, 0.5000) [2 per cell]  4 Sc 2.09
C (0.0000, 0.5000, 0.7500) [2 per cell]  4 Sc 2.34

Results
**Formation energy from the elements**: 0.00 eV/atom
**Size of the total moment**: 1.088 μB/f.u.

Record 2
Computed, not measured: a relaxed structure of LiLa2AgIr at the GGA-PBE level of DFT.

Lattice parameters (Å, degrees): 7.8134 4.3528 7.9229 90.00 108.37 90.00
With the nearest neighbours (Å) after each atom.
Space group P2_1/m (No. 11)
One atom of each set of equivalent atoms:
Li (0.1535, 0.2500, 0.0567) [2 per cell]  1 Ir 2.63, 3 Ag 2.82-2.88
La (0.1574, 0.7500, 0.3948) [2 per cell]  2 Ir 2.87
La (0.4615, 0.2500, 0.7715) [2 per cell]  3 Ir 2.88-3.00
Ag (0.1647, 0.7500, 0.8340) [2 per cell]  3 Li 2.82-2.88
Ir (0.3911, 0.2500, 0.3769) [2 per cell]  1 Li 2.63, 4 La 2.87-2.88

Results
**Formation energy from the elements**: -0.44 eV/atom
**Relative energy among the computed polymorphs**: 0.000 eV/atom
**Size of the total moment**: 0.000 μB/f.u.

Record 3
Computed, not measured: a relaxed structure of Fe2SiHg at the GGA-PBE level of DFT.

Lattice parameters (Å, degrees): 2.8316 2.8316 6.7441 90.00 90.00 90.00
With the nearest neighbours (Å) after each atom.
Space group P4/mmm (No. 123)
One atom of each set of equivalent atoms:
Fe (0.0000, 0.0000, 0.1920) [2 per cell]  4 Si 2.38, 1 Fe 2.59
Si (0.5000, 0.5000, 0.0000) [1 per cell]  8 Fe 2.38
Hg (0.5000, 0.5000, 0.5000) [1 per cell]  4 Hg 2.83, 8 Fe 2.88

Results
**ΔE_f (raw)**: 0.08 eV per atom
**Relative energy among the computed polymorphs**: 0.000 eV/atom
**Size of the total moment**: 2.600 μB/f.u.

Record 4
Computed, not measured: a relaxed structure of MgSnAu2 at the GGA-PBE level of DFT.

Lattice parameters (Å, degrees): 3.6782 4.4999 10.0241 90.00 100.65 90.00
With the nearest neighbours (Å) after each atom.
Space group P2_1/m (No. 11)
One atom of each set of equivalent atoms:
Mg (0.0556, 0.2500, 0.1126) [2 per cell]  8 Au 2.82-2.92
Sn (0.1852, 0.7500, 0.3738) [2 per cell]  7 Au 2.92-3.20
Au (0.3362, 0.7500, 0.6706) [2 per cell]  2 Mg 2.82, 5 Sn 2.92-2.94, 2 Au 3.13
Au (0.4504, 0.2500, 0.8912) [2 per cell]  6 Mg 2.84-2.92, 4 Au 3.11-3.13

Results
**Formation energy from the elements**: -0.37 eV/atom
**Size of the total moment**: 0.000 μB/f.u.

Record 5
Computed, not measured: a relaxed structure of Cu5P at the GGA-PBE level of DFT.

Lattice parameters (Å, degrees): 4.4710 7.7241 4.4664 90.00 110.11 90.00
With the nearest neighbours (Å) after each atom.
Space group C2/m (No. 12)
One atom of each set of equivalent atoms:
Cu (0.0000, 0.0000, 0.0000) [2 per cell]  2 P 2.56, 10 Cu 2.57-2.59
Cu (0.0000, 0.1669, 0.5000) [4 per cell]  9 Cu 2.56-2.59, 3 P 2.57-2.58
Cu (0.0000, 0.3357, 0.0000) [4 per cell]  10 Cu 2.54-2.60, 2 P 2.57
P (0.0000, 0.5000, 0.5000) [2 per cell]  12 Cu 2.56-2.58

Results
**Formation energy from the elements**: 0.04 eV/atom
**Relative energy among the computed polymorphs**: 0.028 eV/atom
**Size of the total moment**: 0.000 μB/f.u.

Record 6
Computed, not measured: a relaxed structure of Pa2MoN at the GGA-PBE level of DFT.

Lattice parameters (Å, degrees): 3.4054 3.4054 22.2137 90.00 90.00 120.00
With the nearest neighbours (Å) after each atom.
Space group R-3m (No. 166, hexagonal axes)
One atom of each set of equivalent atoms:
Pa (0.0000, 0.0000, 0.2328) [6 per cell]  3 N 2.45
Mo (0.0000, 0.0000, 0.0000) [3 per cell]  6 Pa 2.97
N (0.0000, 0.0000, 0.5000) [3 per cell]  6 Pa 2.45

Results
**ΔE_f (raw)**: -0.43 eV per atom
**Size of the total moment**: 0.000 μB/f.u.

> Which of these has the highest size of the total moment?

Fe2SiHg